1.
Sr2Hg2Pb | Alexandria via LeMat-Bulk | SCAN | single point on PBEsol structure; DFT formation energy = -15.26 kcal/mol of atoms; E above lowest polymorph = 0.00 eV/f.u.; Fermi-level density of states = 5.09 states/eV/cell
1.0
8.5178 0.0000 0.0000
0.0000 8.5178 0.0000
0.0000 0.0000 4.1665
Sr Hg Pb
4 4 2
Cartesian
1.5070 2.7519 0.0000 Sr
2.7519 7.0108 0.0000 Sr
5.7659 1.5070 0.0000 Sr
7.0108 5.7659 0.0000 Sr
1.0367 5.2956 2.0833 Hg
3.2222 1.0367 2.0833 Hg
5.2956 7.4811 2.0833 Hg
7.4811 3.2222 2.0833 Hg
0.0000 0.0000 2.0833 Pb
4.2589 4.2589 2.0833 Pb

=====

2.
KIn2Pt | Alexandria via LeMat-Bulk | SCAN | single point on PBEsol structure; DFT formation energy = -10.12 kcal/mol of atoms; Fermi-level density of states = 5.34 states/eV/cell
1.0
4.6107 0.0000 0.0000
-2.3053 3.9930 0.0000
0.0000 0.0000 18.5719
K In Pt
3 6 3
Cartesian
0.0000 0.0000 0.0000 K
0.0000 2.6620 12.3813 K
2.3054 1.3310 6.1906 K
0.0000 0.0000 10.0365 In
0.0000 0.0000 14.8879 In
0.0000 2.6620 3.8458 In
0.0000 2.6620 8.6973 In
2.3054 1.3310 2.5066 In
2.3054 1.3310 16.2271 In
0.0000 0.0000 3.3217 Pt
0.0000 2.6620 15.7030 Pt
2.3054 1.3310 9.5123 Pt

=====

- Which value of DFT formation energy does entry 2 give?
  -10.12 kcal/mol of atoms

=====

- The lowest DFT formation energy belongs to which entry?
  Sr2Hg2Pb